1.
PBE-GGA NaSnHg, optimized geometry; formation enthalpy at 0 K = -139 meV per atom; energy = -6.0 eV/f.u.; density of states at the Fermi level = 0.362 states/eV per atom; spin magnetization = 0.0 μB/f.u.; ΔE to the lowest computed polymorph = 0.12 eV per formula unit
1.0
4.5420 0.0034 0.0157
2.2698 5.6758 -1.1286
-0.0010 1.4142 6.2590
Hg Sn Na
2 2 2
Direct
0.9245 0.4441 0.3854
0.6698 0.9494 0.2106
0.0585 0.1739 0.9536
0.5362 0.2190 0.6421
0.2393 0.8118 0.5460
0.3551 0.5813 0.0489

2.
PBE-GGA TiHg2N, optimized geometry; energy = -15.9 eV/f.u.; density of states at the Fermi level = 0.507 states/eV per atom; spin magnetization = 0.6 μB/f.u.
1.0
-9.1541 1.3462 1.4462
0.7122 -4.1455 8.3671
-3.8426 0.3020 5.7176
Hg N Ti
4 2 2
Direct
0.5056 0.1250 0.2500
0.2444 0.6250 0.2500
0.8750 0.7556 0.7500
0.3750 0.4944 0.7500
0.5000 0.5000 0.0000
0.2500 0.7500 0.5000
0.0000 0.0000 0.0000
0.7500 0.2500 0.5000

Number 2 is which compound? TiHg2N

What is the density of states at the Fermi level in the first record? 0.362 states/eV per atom

Among the records above, which one has the highest spin magnetization? TiHg2N

Which value of spin magnetization does entry 1 give? 0.0 μB/f.u.